[1]
# NaLa3Os

A relaxed NaLa3Os crystal (GGA-PBE, Alexandria).

Fermi-level density of states = 8.93 states/eV/f.u.
Excess energy over the best structure of this formula in the dataset = 186 meV/atom
Formation energy = 0.10 eV/atom
Calculated density = 4.80 Mg/m³

a b c (Å): 10.719 10.719 10.719
angles (deg): 60.00 60.00 60.00
Positions (direct):
La  0.938  0.562  0.938
La  0.562  0.938  0.562
La  0.688  0.688  0.312
La  0.938  0.938  0.562
La  0.562  0.938  0.938
La  0.688  0.312  0.688
La  0.562  0.562  0.938
La  0.688  0.312  0.312
La  0.312  0.312  0.688
La  0.312  0.688  0.312
La  0.938  0.562  0.562
La  0.312  0.688  0.688
Na  0.625  0.125  0.125
Na  0.125  0.125  0.625
Na  0.125  0.125  0.125
Na  0.125  0.625  0.125
Os  0.125  0.625  0.625
Os  0.625  0.625  0.625
Os  0.625  0.125  0.625
Os  0.625  0.625  0.125

---

[2]
# TeH5Ru

A relaxed TeH5Ru crystal (GGA-PBE, Alexandria).

E_tot = -28.39 eV for the cell shown
Fermi-level density of states = 0.97 states/eV/f.u.
Calculated density = 4.17 Mg/m³

a b c (Å): 3.101 4.876 6.800
angles (deg): 111.01 103.18 90.00
Positions (direct):
Ru  0.806  0.306  0.611
H  0.288  0.106  0.576
H  0.526  0.156  0.313
H  0.288  0.470  0.576
H  0.787  0.156  0.313
H  0.936  0.436  0.872
Te  0.900  0.900  0.799

---

[3]
# Ta3InAu

A relaxed Ta3InAu crystal (GGA-PBE, Alexandria).

Fermi-level density of states = 6.79 states/eV/f.u.
Excess energy over the best structure of this formula in the dataset = 0 meV/atom
Formation energy = 1.52 eV/atom
Calculated density = 11.67 Mg/m³

a b c (Å): 4.954 4.954 4.954
angles (deg): 90.00 90.00 90.00
Positions (direct):
In  0.500  0.500  0.500
Ta  0.500  0.000  0.000
Ta  0.000  0.000  0.500
Ta  0.000  0.500  0.000
Au  0.000  0.000  0.000

---

[4]
# TaAl4Ga

A relaxed TaAl4Ga crystal (GGA-PBE, Alexandria).

Fermi-level density of states = 2.05 states/eV/f.u.
Excess energy over the best structure of this formula in the dataset = 179 meV/atom
Formation energy = 0.10 eV/atom
Calculated density = 5.26 Mg/m³

a b c (Å): 5.463 5.463 8.462
angles (deg): 106.49 106.49 97.10
Positions (direct):
Ta  0.000  0.500  0.500
Ta  0.500  0.000  0.500
Al  0.368  0.368  0.737
Al  0.868  0.868  0.737
Al  0.615  0.115  0.230
Al  0.132  0.132  0.263
Al  0.885  0.385  0.770
Al  0.632  0.632  0.263
Al  0.385  0.885  0.770
Al  0.115  0.615  0.230
Ga  0.250  0.250  0.000
Ga  0.750  0.750  0.000

---

[5]
# Tb2Nd2Tm15

A relaxed Tb2Nd2Tm15 crystal (GGA-PBE, Alexandria).

Fermi-level density of states = 32.57 states/eV/f.u.
Formation energy = 0.29 eV/atom
Calculated density = 8.43 Mg/m³

a b c (Å): 8.636 8.636 8.636
angles (deg): 80.12 80.12 80.12
Positions (direct):
Tm  0.000  0.000  0.500
Tm  0.000  0.695  0.305
Tm  0.500  0.000  0.000
Tm  0.695  0.000  0.305
Tm  0.695  0.305  0.000
Tm  0.634  0.634  0.152
Tm  0.000  0.500  0.000
Tm  0.305  0.695  0.000
Tm  0.000  0.305  0.695
Tm  0.305  0.000  0.695
Tm  0.152  0.634  0.634
Tm  0.366  0.848  0.366
Tm  0.366  0.366  0.848
Tm  0.848  0.366  0.366
Tm  0.634  0.152  0.634
Tb  0.669  0.669  0.669
Tb  0.331  0.331  0.331
Nd  0.883  0.883  0.883
Nd  0.117  0.117  0.117

---

[6]
# InCuSb2S5

A relaxed InCuSb2S5 crystal (GGA-PBE, Alexandria).

Raw formation energy = -0.283 eV per atom
Calculated density = 4.69 Mg/m³

a b c (Å): 3.774 9.136 12.219
angles (deg): 90.00 90.00 101.92
Positions (direct):
Sb  0.900  0.799  0.749
Sb  0.094  0.187  0.659
Sb  0.100  0.201  0.249
Sb  0.906  0.813  0.159
S  0.632  0.264  0.520
S  0.495  0.990  0.291
S  0.315  0.630  0.391
S  0.035  0.069  0.061
S  0.703  0.406  0.179
S  0.505  0.010  0.791
S  0.685  0.370  0.891
S  0.368  0.736  0.020
S  0.297  0.594  0.679
S  0.965  0.931  0.561
In  0.223  0.447  0.016
In  0.777  0.553  0.516
Cu  0.563  0.126  0.959
Cu  0.437  0.874  0.459